No. 1
The following is a DFT calculation (PBE-GGA) of a relaxed KMoAs crystal.

Unit cell a=5.0421 b=5.0421 c=2.8119 alpha=90.00 beta=90.00 gamma=120.00
Closest atoms and distances in Å follow each position.
Space group P-6m2 (No. 187)
One atom of each set of equivalent atoms:
K1 0.0000 0.0000 0.0000 x1  2 K 2.81
Mo1 0.6667 0.3333 0.5000 x1  2 Mo 2.81, 3 As 2.91
As1 0.3333 0.6667 0.5000 x1  2 As 2.81, 3 Mo 2.91

Its size of the total moment is 1.21 μB per formula unit. Its excess energy over the best structure of this formula in the dataset is 111.3 kJ per mole of atoms. The value obtained for the energy relative to the elements is 0.879 eV/atom.

***

No. 2
The following is a DFT calculation (PBE-GGA) of a relaxed Rb3Y3ThTe8 crystal.

Unit cell a=8.9926 b=8.9926 c=26.1181 alpha=90.00 beta=90.00 gamma=120.00
Closest atoms and distances in Å follow each position.
Space group R-3m (No. 166, hexagonal axes)
One atom of each set of equivalent atoms:
Rb1 0.0000 0.5000 0.0000 x9  6 Te 3.69-3.70
Y1 0.0000 0.5000 0.5000 x9  6 Te 3.11-3.12
Th1 0.0000 0.0000 0.5000 x3  6 Te 3.16
Te1 0.0000 0.0000 0.2328 x6  3 Y 3.12
Te2 0.0050 0.5025 0.7666 x18  2 Y 3.11, 1 Th 3.16

Its size of the total moment is 0.00 μB per formula unit. Its electronic total energy is -5.03 eV per atom.

***

No. 3
The following is a DFT calculation (PBE-GGA) of a relaxed CaDyHg2 crystal.

Unit cell a=5.3008 b=5.3008 c=3.7347 alpha=90.00 beta=90.00 gamma=90.00
Closest atoms and distances in Å follow each position.
Space group P4/mmm (No. 123)
One atom of each set of equivalent atoms:
Ca1 0.0000 0.0000 0.0000 x1  8 Hg 3.24
Dy1 0.5000 0.5000 0.0000 x1  8 Hg 3.24
Hg1 0.0000 0.5000 0.5000 x2  4 Dy 3.24, 4 Ca 3.24

Its size of the total moment is 0.00 μB per formula unit. Its excess energy over the best structure of this formula in the dataset is 0.0 kJ per mole of atoms. The value obtained for the energy relative to the elements is -0.537 eV/atom.

***

No. 4
The following is a DFT calculation (PBE-GGA) of a relaxed CaScP crystal.

Unit cell a=3.7125 b=3.7125 c=5.6921 alpha=90.00 beta=90.00 gamma=90.00
Closest atoms and distances in Å follow each position.
Space group P4/mmm (No. 123)
One atom of each set of equivalent atoms:
Ca1 0.0000 0.0000 0.0000 x1  2 P 2.85
Sc1 0.5000 0.5000 0.5000 x1  4 P 2.63
P1 0.0000 0.0000 0.5000 x1  4 Sc 2.63, 2 Ca 2.85

Its size of the total moment is 0.00 μB per formula unit. The value obtained for the energy relative to the elements is -0.871 eV/atom.

***

No. 5
The following is a DFT calculation (PBE-GGA) of a relaxed GeAs crystal.

Unit cell a=7.3136 b=7.3136 c=7.3136 alpha=90.00 beta=90.00 gamma=90.00
Closest atoms and distances in Å follow each position.
Space group Pm-3n (No. 223)
One atom of each set of equivalent atoms:
Ge1 0.0000 0.2500 0.5000 x6  4 As 2.59
As1 0.0000 0.5000 0.2500 x6  4 Ge 2.59

Its size of the total moment is 0.00 μB per formula unit. The value obtained for the energy relative to the elements is 0.258 eV/atom.

***

No. 6
The following is a DFT calculation (PBE-GGA) of a relaxed Sr3As2F crystal.

Unit cell a=6.4621 b=14.6307 c=14.8347 alpha=90.00 beta=99.56 gamma=90.00
Closest atoms and distances in Å follow each position.
Space group C2/c (No. 15)
One atom of each set of equivalent atoms:
Sr1 0.0000 0.9996 0.2500 x4  2 F 2.44
Sr2 0.0000 0.3871 0.2500 x4  2 F 2.43
Sr3 0.1845 0.3137 0.8739 x8  1 F 2.76
Sr4 0.2406 0.0866 0.5161 x8  1 F 2.49
As1 0.1528 0.1956 0.3199 x8  1 As 2.61
As2 0.2400 0.1057 0.9255 x8  7 Sr 3.12-3.37
F1 0.2145 0.4979 0.8389 x8  3 Sr 2.43-2.49

Its size of the total moment is 0.00 μB per formula unit. Its excess energy over the best structure of this formula in the dataset is 0.0 kJ per mole of atoms.

***

Number 5 is which compound?
GeAs

***

size of the total moment of number 1 (KMoAs)?
1.21 μB per formula unit

***

What is the size of the total moment in the second record?
0.00 μB per formula unit